RbBaPb (PBE, optimized geometry); energy = -2.35 eV/atom; excess energy over the best structure of this formula in the dataset = 0.048 eV/atom; calculated volume = 162.8 Å³ per cell; space group = F-43m; calculated formation energy = -148 meV per atom
1.0
0.000 4.334 4.334
4.334 0.000 4.334
4.334 4.334 0.000
Rb Ba Pb
1 1 1
direct
0.000 0.000 0.000
0.500 0.500 0.500
0.750 0.750 0.750

***

ZrAsAu (PBE, optimized geometry); energy = -5.71 eV/atom; calculated volume = 60.6 Å³ per cell; space group = P3m1; calculated formation energy = -216 meV per atom
1.0
3.160 0.000 0.000
-1.580 2.737 0.000
0.000 0.000 7.011
Zr As Au
1 1 1
direct
0.000 0.000 0.000
0.667 0.333 0.321
0.333 0.667 0.678